First-principles (PBE) data for a relaxed KAl2Re crystal, as listed in Alexandria.

Properties
ΔE_f	3.56	eV/f.u.
Fermi-level density of states	19.23	states/eV per cell
total energy	-69.9	eV for the cell shown
energy relative to the lowest polymorph listed for this composition	0.6537	eV per atom

a b c (Å): 6.6735 6.6735 6.6735
angles (deg): 90.00 90.00 90.00
Space group Fm-3m (No. 225)
Inequivalent atoms, fractional coordinates:
1 K 0.0000 0.0000 0.0000 (multiplicity 4)
2 Al 0.2500 0.2500 0.2500 (multiplicity 8)
3 Re 0.0000 0.0000 0.5000 (multiplicity 4)

First-principles (PBE) data for a relaxed TiAg2PbS4 crystal, as listed in Alexandria.

Properties
formation energy from raw total energies	-0.602	eV per atom
total energy	-154.5	eV for the cell shown

a b c (Å): 8.1904 9.0331 10.8444
angles (deg): 90.00 90.00 90.00
Space group Fmm2 (No. 42)
Inequivalent atoms, fractional coordinates:
1 Ti 0.0000 0.0000 0.0000 (multiplicity 4)
2 Ag 0.2500 0.2500 0.2650 (multiplicity 8)
3 Pb 0.0000 0.0000 0.5377 (multiplicity 4)
4 S 0.0000 0.1995 0.1257 (multiplicity 8)
5 S 0.2310 0.0000 0.8772 (multiplicity 8)

First-principles (PBE) data for a relaxed CsYTi2O6 crystal, as listed in Alexandria.

Properties
Fermi-level density of states	0.00	states/eV per cell
formation energy from raw total energies	-2.920	eV per atom
total energy	-328.2	eV for the cell shown

a b c (Å): 10.7297 11.3225 6.4904
angles (deg): 90.00 107.75 90.00
Space group C2/c (No. 15)
Inequivalent atoms, fractional coordinates:
1 Cs 0.0000 0.1023 0.2500 (multiplicity 4)
2 Y 0.0000 0.2858 0.7500 (multiplicity 4)
3 Ti 0.2024 0.4247 0.1454 (multiplicity 8)
4 O 0.0768 0.3193 0.0986 (multiplicity 8)
5 O 0.1422 0.1465 0.7378 (multiplicity 8)
6 O 0.1785 0.4588 0.8450 (multiplicity 8)

First-principles (PBE) data for a relaxed Pu2Mn2GaSi2 crystal, as listed in Alexandria.

Properties
Fermi-level density of states	34.79	states/eV per cell
formation energy from raw total energies	0.165	eV per atom
total energy	-119.4	eV for the cell shown

a b c (Å): 4.3946 4.3946 14.6535
angles (deg): 90.00 90.00 90.00
Space group I4/mmm (No. 139)
Inequivalent atoms, fractional coordinates:
1 Pu 0.0000 0.0000 0.1929 (multiplicity 4)
2 Mn 0.0000 0.5000 0.0000 (multiplicity 4)
3 Ga 0.0000 0.0000 0.0000 (multiplicity 2)
4 Si 0.0000 0.0000 0.3980 (multiplicity 4)

First-principles (PBE) data for a relaxed BeSi3Ir crystal, as listed in Alexandria.

Properties
Fermi-level density of states	2.55	states/eV per cell
formation energy from raw total energies	0.843	eV per atom
total energy	-24.6	eV for the cell shown
energy relative to the lowest polymorph listed for this composition	0.0526	eV per atom

a b c (Å): 4.6346 4.6346 4.6346
angles (deg): 90.00 90.00 90.00
Space group Pm-3m (No. 221)
Inequivalent atoms, fractional coordinates:
1 Be 0.0000 0.0000 0.0000 (multiplicity 1)
2 Si 0.0000 0.5000 0.5000 (multiplicity 3)
3 Ir 0.5000 0.5000 0.5000 (multiplicity 1)

First-principles (PBE) data for a relaxed LiCdAg2 crystal, as listed in Alexandria.

Properties
ΔE_f	0.07	eV/f.u.
Fermi-level density of states	4.46	states/eV per cell
total energy	-33.9	eV for the cell shown

a b c (Å): 3.9955 3.9955 19.8535
angles (deg): 90.00 90.00 90.00
Space group I-42d (No. 122)
Inequivalent atoms, fractional coordinates:
1 Li 0.0000 0.0000 0.0000 (multiplicity 4)
2 Cd 0.0000 0.0000 0.5000 (multiplicity 4)
3 Ag 0.2480 0.2500 0.1250 (multiplicity 8)

First-principles (PBE) data for a relaxed InHg3 crystal, as listed in Alexandria.

Properties
ΔE_f	0.03	eV/f.u.
Fermi-level density of states	2.40	states/eV per cell
total energy	-7.2	eV for the cell shown

a b c (Å): 3.3723 11.1299 5.7131
angles (deg): 90.00 90.00 90.00
Space group Imm2 (No. 44)
Inequivalent atoms, fractional coordinates:
1 In 0.0000 0.0000 0.0000 (multiplicity 2)
2 Hg 0.0000 0.2502 0.3334 (multiplicity 4)
3 Hg 0.0000 0.5000 0.9988 (multiplicity 2)

First-principles (PBE) data for a relaxed Ni2HIr crystal, as listed in Alexandria.

Properties
Fermi-level density of states	16.23	states/eV per cell
total energy	-71.2	eV for the cell shown
energy relative to the lowest polymorph listed for this composition	0.0000	eV per atom

a b c (Å): 2.6692 2.6692 18.9002
angles (deg): 90.00 90.00 120.00
Space group R3m (No. 160, hexagonal axes)
Inequivalent atoms, fractional coordinates:
1 Ni 0.0000 0.0000 0.0000 (multiplicity 3)
2 Ni 0.0000 0.0000 0.2227 (multiplicity 3)
3 H 0.0000 0.0000 0.6094 (multiplicity 3)
4 Ir 0.0000 0.0000 0.7774 (multiplicity 3)

First-principles (PBE) data for a relaxed Ce3Mg5H12 crystal, as listed in Alexandria.

Properties
Fermi-level density of states	127.10	states/eV per cell
total energy	-567.0	eV for the cell shown

a b c (Å): 12.4560 12.4560 12.4560
angles (deg): 90.00 90.00 90.00
Space group Ia-3d (No. 230)
Inequivalent atoms, fractional coordinates:
1 Ce 0.0000 0.2500 0.1250 (multiplicity 24)
2 Mg 0.0000 0.0000 0.0000 (multiplicity 16)
3 Mg 0.0000 0.2500 0.3750 (multiplicity 24)
4 H 0.0194 0.0638 0.6522 (multiplicity 96)

First-principles (PBE) data for a relaxed BaTe4As2 crystal, as listed in Alexandria.

Properties
formation energy from raw total energies	-0.437	eV per atom
total energy	-214.8	eV for the cell shown

a b c (Å): 10.8082 22.2229 8.6974
angles (deg): 90.00 90.00 90.00
Space group Fdd2 (No. 43)
Inequivalent atoms, fractional coordinates:
1 Ba 0.0000 0.0000 0.0000 (multiplicity 8)
2 Te 0.0638 0.1049 0.2997 (multiplicity 16)
3 Te 0.0703 0.2263 0.8949 (multiplicity 16)
4 As 0.0955 0.0853 0.6011 (multiplicity 16)

First-principles (PBE) data for a relaxed Na3BCl crystal, as listed in Alexandria.

Properties
Fermi-level density of states	0.00	states/eV per cell
formation energy from raw total energies	0.171	eV per atom
total energy	-11.6	eV for the cell shown
energy relative to the lowest polymorph listed for this composition	0.0000	eV per atom

a b c (Å): 5.1420 5.1420 5.1420
angles (deg): 90.00 90.00 90.00
Space group Pm-3m (No. 221)
Inequivalent atoms, fractional coordinates:
1 Na 0.0000 0.0000 0.5000 (multiplicity 3)
2 B 0.0000 0.0000 0.0000 (multiplicity 1)
3 Cl 0.5000 0.5000 0.5000 (multiplicity 1)

First-principles (PBE) data for a relaxed KZr2Mo crystal, as listed in Alexandria.

Properties
ΔE_f	3.06	eV/f.u.
Fermi-level density of states	9.56	states/eV per cell
total energy	-51.9	eV for the cell shown
energy relative to the lowest polymorph listed for this composition	0.4765	eV per atom

a b c (Å): 9.6643 3.2410 7.7624
angles (deg): 90.00 92.66 90.00
Space group Cm (No. 8)
Inequivalent atoms, fractional coordinates:
1 K 0.0000 0.0000 0.0000 (multiplicity 2)
2 Zr 0.0079 0.5000 0.5493 (multiplicity 2)
3 Zr 0.2640 0.5000 0.3694 (multiplicity 2)
4 Mo 0.2458 0.0000 0.6442 (multiplicity 2)

Taking the records one at a time from the top gives calculated density values of 6.24, 4.96, 3.66, 8.49, 4.76, 7.02, 11.10, 13.27, 3.81, 5.07, 1.41, 4.34 Mg/m³.